The following is a DFT calculation (GGA-PBE) of a relaxed La5NdY2Sc crystal.

extended XYZ file:
```
18
Lattice="9.1991 0.0000 0.0000 0.0000 9.1991 0.0000 0.0000 0.0000 7.5049" Properties=species:S:1:pos:R:3 pbc="T T T"
La 0.0000 0.0000 0.0000
La 1.8941 2.7055 2.1235
La 1.8941 2.7055 5.3815
La 2.7055 7.3050 2.1235
La 2.7055 7.3050 5.3815
La 4.5995 4.5995 0.0000
La 6.4936 1.8941 2.1235
La 6.4936 1.8941 5.3815
La 7.3050 6.4936 2.1235
La 7.3050 6.4936 5.3815
Nd 0.0000 0.0000 3.7525
Nd 4.5995 4.5995 3.7525
Y 1.0384 5.6380 0.0000
Y 3.5611 1.0384 0.0000
Y 5.6380 8.1606 0.0000
Y 8.1606 3.5611 0.0000
Sc 0.0000 4.5995 3.7525
Sc 4.5995 0.0000 3.7525
```

Properties
**Space group**: P4/mbm
**Density**: 5.551 g/cm3
**Fermi-level density of states**: 1.839 states/eV/atom
**Magnetization**: 0.0 Bohr magnetons per cell
**Total DFT energy (no corrections)**: -46.0 eV/f.u.